No. 1
NdPa2Al | GGA-PBE | relaxed Values from VASP.

**Mass density**: 10.40 g/cm³
**ΔE to the lowest computed polymorph**: 168.6 meV per atom
**Energy of formation**: 0.23 eV/atom
**Uncorrected energy**: -6.65 eV/atom

The structure in Quantum ESPRESSO input format:
```
&SYSTEM
  ibrav = 0, nat = 4, ntyp = 3
/
ATOMIC_SPECIES
Nd 144.24 Nd.upf
Al 26.98 Al.upf
Pa 231.04 Pa.upf
ATOMIC_POSITIONS angstrom
Nd 0.000 0.000 0.000
Al 1.141 5.164 4.412
Pa 3.720 6.838 3.688
Pa -1.439 3.490 5.135
CELL_PARAMETERS angstrom
-2.530 1.444 1.229
-0.778 -0.478 3.027
5.588 9.362 4.567
```

=====

No. 2
Nb4CoC2S4 | GGA-PBE | relaxed Values from VASP.

**Mass density**: 6.09 g/cm³
**Uncorrected energy**: -8.26 eV/atom

The structure in Quantum ESPRESSO input format:
```
&SYSTEM
  ibrav = 0, nat = 11, ntyp = 4
/
ATOMIC_SPECIES
Nb 92.91 Nb.upf
C 12.01 C.upf
S 32.06 S.upf
Co 58.93 Co.upf
ATOMIC_POSITIONS angstrom
Nb 1.664 2.819 3.003
Nb 0.000 1.859 5.317
Nb 1.664 4.795 5.326
Nb 0.000 5.755 3.012
C 1.664 0.937 4.162
C 0.000 3.807 4.164
S 1.664 4.768 1.306
S 1.664 2.846 7.023
S 0.000 1.898 1.326
S 0.000 5.716 7.002
Co 0.000 0.000 0.000
CELL_PARAMETERS angstrom
3.329 0.000 0.000
0.000 5.741 0.005
0.000 1.873 8.323
```

=====

No. 3
Sr3HfPa3As8 | GGA-PBE | relaxed Values from VASP.

**Mass density**: 6.67 g/cm³
**Energy of formation**: -1.01 eV/atom
**Uncorrected energy**: -6.39 eV/atom

The structure in Quantum ESPRESSO input format:
```
&SYSTEM
  ibrav = 0, nat = 15, ntyp = 4
/
ATOMIC_SPECIES
Pa 231.04 Pa.upf
As 74.92 As.upf
Hf 178.49 Hf.upf
Sr 87.62 Sr.upf
ATOMIC_POSITIONS angstrom
Pa -3.151 0.681 2.889
Pa -5.925 -0.932 0.244
Pa -0.785 3.895 1.718
As -5.570 -3.519 1.387
As -5.975 0.088 2.944
As -0.731 4.881 4.392
As -3.558 3.238 1.698
As -0.327 1.274 2.835
As -3.159 -0.245 0.194
As -2.743 -1.876 4.081
As -3.142 1.607 5.585
Hf -3.559 2.282 -0.927
Sr 0.409 -1.601 3.817
Sr 0.000 0.000 0.000
Sr 2.775 1.613 2.645
CELL_PARAMETERS angstrom
-4.732 -6.428 2.343
5.550 3.226 5.291
-7.119 4.564 -1.855
```

=====

No. 4
Sm4Ag2HgIr | GGA-PBE | relaxed Values from VASP.

**Mass density**: 10.14 g/cm³
**Energy of formation**: -0.47 eV/atom
**Uncorrected energy**: -4.69 eV/atom

The structure in Quantum ESPRESSO input format:
```
&SYSTEM
  ibrav = 0, nat = 8, ntyp = 4
/
ATOMIC_SPECIES
Sm 150.36 Sm.upf
Hg 200.59 Hg.upf
Ir 192.22 Ir.upf
Ag 107.87 Ag.upf
ATOMIC_POSITIONS angstrom
Sm 5.213 3.010 7.133
Sm 2.607 1.505 5.086
Sm 7.820 4.515 3.336
Sm 5.213 3.010 1.289
Hg 0.000 0.000 0.000
Ir 5.213 3.010 4.211
Ag 7.820 4.515 6.530
Ag 2.607 1.505 1.892
CELL_PARAMETERS angstrom
5.213 0.000 0.000
2.607 4.515 0.000
2.607 1.505 8.422
```

=====

No. 5
Nd5Co4 | GGA-PBE | relaxed Values from VASP.

**Mass density**: 7.60 g/cm³
**Energy of formation**: -0.04 eV/atom
**Uncorrected energy**: -5.85 eV/atom

The structure in Quantum ESPRESSO input format:
```
&SYSTEM
  ibrav = 0, nat = 9, ntyp = 2
/
ATOMIC_SPECIES
Co 58.93 Co.upf
Nd 144.24 Nd.upf
ATOMIC_POSITIONS angstrom
Co -4.067 -7.045 1.770
Co -5.283 -3.377 1.156
Co -3.660 -4.710 2.130
Co -2.444 -8.378 2.744
Nd -5.219 -9.235 3.273
Nd -6.474 -5.630 2.632
Nd -2.508 -2.520 0.626
Nd -1.253 -6.125 1.268
Nd 0.000 0.000 0.000
CELL_PARAMETERS angstrom
-2.109 -0.144 3.315
-5.585 -2.108 -1.313
-0.032 -9.503 1.897
```

=====

No. 6
Ta2AgRu | GGA-PBE | relaxed Values from VASP.

**Mass density**: 13.38 g/cm³
**ΔE to the lowest computed polymorph**: 167.4 meV per atom
**Energy of formation**: 0.21 eV/atom
**Uncorrected energy**: -8.74 eV/atom

The structure in Quantum ESPRESSO input format:
```
&SYSTEM
  ibrav = 0, nat = 4, ntyp = 3
/
ATOMIC_SPECIES
Ag 107.87 Ag.upf
Ru 101.07 Ru.upf
Ta 180.95 Ta.upf
ATOMIC_POSITIONS angstrom
Ag 13.356 2.121 1.245
Ru 19.928 3.164 1.858
Ta 6.780 1.077 0.632
Ta 0.147 0.023 0.014
CELL_PARAMETERS angstrom
9.250 -0.050 -0.029
8.779 2.913 -0.029
8.779 1.394 2.558
```

=====

No. 7
Ti4Co3Mo | GGA-PBE | relaxed Values from VASP.

**Mass density**: 6.97 g/cm³
**Energy of formation**: -0.32 eV/atom
**Uncorrected energy**: -8.29 eV/atom

The structure in Quantum ESPRESSO input format:
```
&SYSTEM
  ibrav = 0, nat = 8, ntyp = 3
/
ATOMIC_SPECIES
Co 58.93 Co.upf
Ti 47.87 Ti.upf
Mo 95.94 Mo.upf
ATOMIC_POSITIONS angstrom
Co -2.465 -2.567 1.315
Co -4.987 -2.956 2.479
Co -7.509 -3.344 3.643
Ti -9.250 -1.426 4.269
Ti -4.027 -0.621 1.858
Ti -6.625 -1.022 3.057
Ti -1.401 -0.216 0.647
Mo 0.339 -2.134 0.021
CELL_PARAMETERS angstrom
-0.544 -2.294 -1.945
1.222 -1.975 1.987
-10.651 -1.643 4.916
```

=====

No. 8
SrAg3Rh | GGA-PBE | relaxed Values from VASP.

**Mass density**: 6.42 g/cm³
**ΔE to the lowest computed polymorph**: 0.0 meV per atom
**Energy of formation**: 0.26 eV/atom
**Uncorrected energy**: -3.26 eV/atom

The structure in Quantum ESPRESSO input format:
```
&SYSTEM
  ibrav = 0, nat = 5, ntyp = 3
/
ATOMIC_SPECIES
Rh 102.91 Rh.upf
Ag 107.87 Ag.upf
Sr 87.62 Sr.upf
ATOMIC_POSITIONS angstrom
Rh 0.000 0.000 0.000
Ag -2.427 0.783 -0.095
Ag -0.338 -0.755 2.414
Ag -0.713 -2.308 -0.822
Sr -3.478 -2.280 1.496
CELL_PARAMETERS angstrom
-1.425 -4.616 -1.645
-0.677 -1.511 4.827
-4.853 1.566 -0.190
```

=====

No. 9
BeAsPb2 | GGA-PBE | relaxed Values from VASP.

**Mass density**: 8.58 g/cm³
**ΔE to the lowest computed polymorph**: 370.1 meV per atom
**Energy of formation**: 0.55 eV/atom
**Uncorrected energy**: -3.40 eV/atom

The structure in Quantum ESPRESSO input format:
```
&SYSTEM
  ibrav = 0, nat = 4, ntyp = 3
/
ATOMIC_SPECIES
Be 9.01 Be.upf
Pb 207.20 Pb.upf
As 74.92 As.upf
ATOMIC_POSITIONS angstrom
Be -0.171 -3.205 1.069
Pb 0.000 0.000 0.000
Pb -0.255 -2.763 -1.935
As -2.938 -4.289 -0.549
CELL_PARAMETERS angstrom
-2.854 -4.731 2.455
-3.021 -3.847 -3.553
5.449 2.610 0.232
```

=====

No. 10
NaMoN2 | GGA-PBE | relaxed Values from VASP.

**Mass density**: 5.29 g/cm³
**ΔE to the lowest computed polymorph**: 119.4 meV per atom
**Uncorrected energy**: -7.45 eV/atom

The structure in Quantum ESPRESSO input format:
```
&SYSTEM
  ibrav = 0, nat = 4, ntyp = 3
/
ATOMIC_SPECIES
N 14.01 N.upf
Mo 95.94 Mo.upf
Na 22.99 Na.upf
ATOMIC_POSITIONS angstrom
N 2.276 -3.975 2.033
N -0.224 -2.024 0.473
Mo 1.012 -7.385 2.468
Na 0.023 -4.415 1.239
CELL_PARAMETERS angstrom
-2.122 -1.694 1.283
-1.027 -2.444 -1.411
3.124 -4.637 2.562
```

=====

No. 11
Pu2MgAgO8 | GGA-PBE | relaxed Values from VASP.

**Mass density**: 6.87 g/cm³
**Uncorrected energy**: -7.68 eV/atom

The structure in Quantum ESPRESSO input format:
```
&SYSTEM
  ibrav = 0, nat = 12, ntyp = 4
/
ATOMIC_SPECIES
O 16.00 O.upf
Mg 24.30 Mg.upf
Pu 244.00 Pu.upf
Ag 107.87 Ag.upf
ATOMIC_POSITIONS angstrom
O 0.495 2.722 1.015
O 1.528 -0.330 1.473
O 3.043 2.110 3.330
O 3.643 3.944 1.015
O -0.150 1.682 3.788
O 3.106 -1.310 3.330
O 0.150 -1.682 3.788
O 4.621 1.130 1.473
Mg -1.005 2.933 2.401
Pu 3.075 0.400 2.401
Pu 2.069 3.333 0.000
Ag 0.000 0.000 0.000
CELL_PARAMETERS angstrom
6.149 0.800 0.000
-2.011 5.866 0.000
-2.069 -3.333 4.803
```

=====

No. 12
Mg2TaMo | GGA-PBE | relaxed Values from VASP.

**Mass density**: 7.53 g/cm³
**ΔE to the lowest computed polymorph**: 128.6 meV per atom
**Energy of formation**: 0.28 eV/atom
**Uncorrected energy**: -6.19 eV/atom

The structure in Quantum ESPRESSO input format:
```
&SYSTEM
  ibrav = 0, nat = 4, ntyp = 3
/
ATOMIC_SPECIES
Ta 180.95 Ta.upf
Mo 95.94 Mo.upf
Mg 24.30 Mg.upf
ATOMIC_POSITIONS angstrom
Ta 1.571 2.122 1.368
Mo 2.930 -0.276 1.321
Mg 8.344 4.725 0.000
Mg 4.255 2.410 0.000
CELL_PARAMETERS angstrom
5.558 -0.020 -0.047
2.841 4.777 0.047
-3.898 -2.911 2.688
```